The following is a DFT calculation (PBE-GGA) of a relaxed Cr2SiBiB crystal.

Raw total energy, eV/cell: -27.17
Energy relative to the elements, uncorrected, eV/atom: 1.61
Crystal system: tetragonal

Lattice parameters (Å, degrees): 4.6039 5.3533 4.6039 90.00 90.00 90.00
Last column: nearest neighbours and their distance in Å.
Atoms (fractional coordinates):
Cr (0.5000, 0.0000, 0.0000)  2 Si 2.30
Cr (0.0000, 0.0000, 0.5000)  2 Si 2.30
Bi (0.0000, 0.5000, 0.0000)  2 Si 2.68
Si (0.0000, 0.0000, 0.0000)  4 Cr 2.30
B (0.5000, 0.5000, 0.5000)  4 Bi 3.26, 8 Cr 3.53

The following is a DFT calculation (PBE-GGA) of a relaxed CrSnBi2B crystal.

Raw total energy, eV/cell: -24.92
Crystal system: tetragonal

Lattice parameters (Å, degrees): 5.2705 4.2035 5.2705 90.00 90.00 90.00
Last column: nearest neighbours and their distance in Å.
Atoms (fractional coordinates):
B (0.0000, 0.0000, 0.0000)  2 Cr 2.10
Cr (0.0000, 0.5000, 0.0000)  2 B 2.10
Bi (0.0000, 0.0000, 0.5000)  2 B 2.64
Bi (0.5000, 0.0000, 0.0000)  2 B 2.64
Sn (0.5000, 0.5000, 0.5000)  8 Bi 3.37, 4 Cr 3.73

The following is a DFT calculation (PBE-GGA) of a relaxed VCrBi2B crystal.

Raw total energy, eV/cell: -25.84
Crystal system: tetragonal

Lattice parameters (Å, degrees): 5.2606 4.0300 5.2606 90.00 90.00 90.00
Last column: nearest neighbours and their distance in Å.
Atoms (fractional coordinates):
V (0.0000, 0.0000, 0.0000)  2 B 2.02
Cr (0.5000, 0.5000, 0.5000)  8 Bi 3.31
Bi (0.5000, 0.0000, 0.0000)  2 V 2.63
Bi (0.0000, 0.0000, 0.5000)  2 V 2.63
B (0.0000, 0.5000, 0.0000)  2 V 2.02

The following is a DFT calculation (PBE-GGA) of a relaxed CrBiB2W crystal.

Raw total energy, eV/cell: -30.84
Crystal system: tetragonal

Lattice parameters (Å, degrees): 4.1703 5.4842 4.1703 90.00 90.00 90.00
Last column: nearest neighbours and their distance in Å.
Atoms (fractional coordinates):
W (0.0000, 0.0000, 0.0000)  4 B 2.09
Bi (0.0000, 0.5000, 0.0000)  2 W 2.74, 4 Cr 2.95
B (0.0000, 0.0000, 0.5000)  2 W 2.09
B (0.5000, 0.0000, 0.0000)  2 W 2.09
Cr (0.5000, 0.5000, 0.5000)  4 Bi 2.95